1.
ThTa4Si2: optimized geometry, PBE-GGA.

Lattice parameters (Å, degrees): 8.506 8.506 3.683 90.00 90.00 149.85
Fractional coordinates of all 7 atoms:
Th1 0.000 0.000 0.000
Ta1 0.174 0.826 0.500
Ta2 0.315 0.685 0.000
Ta3 0.685 0.315 0.000
Ta4 0.826 0.174 0.500
Si1 0.426 0.574 0.500
Si2 0.574 0.426 0.500

Computed properties:
**Formation energy from raw total energies**: -0.414 eV/atom
**Final energy**: -9.796 eV per atom
**Fermi-level density of states**: 4.786 states/eV/cell
**ρ**: 12.557 g/cm³
**Magnetic moment**: 0.00 μB per formula unit
**Symmetry**: Cmmm

2.
ThTaTiSi2: optimized geometry, PBE-GGA.

Lattice parameters (Å, degrees): 6.515 6.515 6.515 143.66 143.66 52.33
Fractional coordinates of all 5 atoms:
Th1 0.000 0.000 0.000
Ta1 0.750 0.250 0.500
Ti1 0.250 0.750 0.500
Si1 0.394 0.394 0.000
Si2 0.606 0.606 0.000

Computed properties:
**Formation energy from raw total energies**: -0.682 eV/atom
**Final energy**: -8.285 eV per atom
**Fermi-level density of states**: 2.532 states/eV/cell
**ρ**: 8.896 g/cm³
**Magnetic moment**: 0.00 μB per formula unit
**Symmetry**: I-4m2

3.
ThTaSi2W: optimized geometry, PBE-GGA.

Lattice parameters (Å, degrees): 6.425 6.425 6.425 143.14 143.14 53.11
Fractional coordinates of all 5 atoms:
Th1 0.000 0.000 0.000
Ta1 0.750 0.250 0.500
Si1 0.393 0.393 0.000
Si2 0.607 0.607 0.000
W1 0.250 0.750 0.500

Computed properties:
**Formation energy from raw total energies**: -0.507 eV/atom
**Final energy**: -9.121 eV per atom
**Fermi-level density of states**: 3.105 states/eV/cell
**ρ**: 11.432 g/cm³
**Magnetic moment**: 0.00 μB per formula unit
**Symmetry**: I-4m2